Entry 1:
The following is a PBE-GGA calculation of Cs2Ga2I7 after structural relaxation, from Alexandria.

Values from the calculation:
E_form (uncorrected) = -0.836 eV/atom
total DFT energy (no corrections) = -2.53 eV per atom
D(E_F) = 10.46 states/eV/cell
M_tot = 0.00 Bohr magnetons per cell
symmetry = No. 14

Lattice parameters (Å, degrees): 7.0483 9.9343 18.0960 90.00 90.00 104.86
With the nearest neighbours (Å) after each atom.
Element x y z (fractional)
1 I 0.0217 0.6962 0.7698  1 Ga 2.66
2 I 0.7572 0.8560 0.9430  1 Ga 2.68
3 I 0.2428 0.6440 0.4430  1 Ga 2.68
4 I 0.9783 0.3038 0.2302  1 Ga 2.66
5 I 0.0000 0.5000 0.0000  2 Ga 2.77
6 I 0.0217 0.1962 0.7302  1 Ga 2.66
7 I 0.2428 0.1440 0.0570  1 Ga 2.68
8 I 0.5257 0.5557 0.1468  1 Ga 2.64
9 I 0.5257 0.0557 0.3532  1 Ga 2.64
10 I 0.4743 0.9443 0.6468  1 Ga 2.64
11 I 0.9783 0.8038 0.2698  1 Ga 2.66
12 I 0.7572 0.3560 0.5570  1 Ga 2.68
13 I 0.0000 0.0000 0.5000  2 Ga 2.77
14 I 0.4743 0.4443 0.8532  1 Ga 2.64
15 Cs 0.3714 0.0350 0.8518  6 I 3.92-4.03
16 Cs 0.6286 0.9650 0.1482  6 I 3.92-4.03
17 Cs 0.3714 0.5350 0.6482  6 I 3.92-4.03
18 Cs 0.6286 0.4650 0.3518  6 I 3.92-4.03
19 Ga 0.8120 0.1155 0.6082  4 I 2.64-2.77
20 Ga 0.8120 0.6155 0.8918  4 I 2.64-2.77
21 Ga 0.1880 0.8845 0.3918  4 I 2.64-2.77
22 Ga 0.1880 0.3845 0.1082  4 I 2.64-2.77

Entry 2:
The following is a PBE-GGA calculation of CsGa2I6 after structural relaxation, from Alexandria.

Values from the calculation:
E_form (uncorrected) = -0.672 eV/atom
total DFT energy (no corrections) = -2.47 eV per atom
D(E_F) = 4.67 states/eV/cell
M_tot = 0.00 Bohr magnetons per cell
symmetry = No. 15

Lattice parameters (Å, degrees): 9.0280 11.4679 11.4679 78.43 67.61 67.61
With the nearest neighbours (Å) after each atom.
Element x y z (fractional)
1 I 0.6442 0.6445 0.6501  2 Ga 2.76
2 I 0.8558 0.3499 0.3555  2 Ga 2.76
3 I 0.6759 0.9295 0.8375  1 Ga 2.61
4 I 0.8241 0.1625 0.0705  1 Ga 2.61
5 I 0.3558 0.3555 0.3499  2 Ga 2.76
6 I 0.6686 0.5664 0.0524  1 Ga 2.61
7 I 0.1442 0.6501 0.6445  2 Ga 2.76
8 I 0.8314 0.9476 0.4336  1 Ga 2.61
9 I 0.1759 0.8375 0.9295  1 Ga 2.61
10 I 0.3241 0.0705 0.1625  1 Ga 2.61
11 I 0.1686 0.0524 0.5664  1 Ga 2.61
12 I 0.3314 0.4336 0.9476  1 Ga 2.61
13 Ga 0.1767 0.2024 0.3620  4 I 2.61-2.76
14 Ga 0.6767 0.3620 0.2024  4 I 2.61-2.76
15 Ga 0.3233 0.6380 0.7976  4 I 2.61-2.76
16 Ga 0.8233 0.7976 0.6380  4 I 2.61-2.76
17 Cs 0.7500 0.8113 0.1887  6 I 3.88-4.20
18 Cs 0.2500 0.1887 0.8113  6 I 3.88-4.20

Entry 3:
The following is a PBE-GGA calculation of CsGaI2 after structural relaxation, from Alexandria.

Values from the calculation:
E_form (uncorrected) = -0.898 eV/atom
total DFT energy (no corrections) = -2.64 eV per atom
D(E_F) = 0.00 states/eV/cell
M_tot = 0.00 Bohr magnetons per cell
symmetry = No. 12

Lattice parameters (Å, degrees): 6.2600 6.2600 10.6908 89.89 89.89 89.99
With the nearest neighbours (Å) after each atom.
Element x y z (fractional)
1 Cs 0.2492 0.2492 0.7880  1 I 3.83, 1 Ga 3.88
2 Cs 0.7508 0.7508 0.2120  1 I 3.83, 1 Ga 3.88
3 Ga 0.7505 0.7505 0.5752  5 I 2.98-3.24
4 Ga 0.2495 0.2495 0.4248  5 I 2.98-3.24
5 I 0.7519 0.7519 0.8540  1 Ga 2.98
6 I 0.2481 0.2481 0.1460  1 Ga 2.98
7 I 0.2501 0.7499 0.5000  4 Ga 3.23-3.24
8 I 0.7499 0.2501 0.5000  4 Ga 3.23-3.24

Entry 4:
The following is a PBE-GGA calculation of CsGa2I8 after structural relaxation, from Alexandria.

Values from the calculation:
E_form (uncorrected) = -0.604 eV/atom
total DFT energy (no corrections) = -2.36 eV per atom
D(E_F) = 7.80 states/eV/cell
M_tot = 0.00 Bohr magnetons per cell
symmetry = No. 12

Lattice parameters (Å, degrees): 7.6685 9.0038 9.0038 76.40 84.99 84.99
With the nearest neighbours (Å) after each atom.
Element x y z (fractional)
1 I 0.7808 0.5900 0.5900  1 Ga 2.53
2 I 0.7394 0.2713 0.2713  1 Ga 2.62
3 I 0.3437 0.3245 0.9606  1 Ga 2.61
4 I 0.3437 0.9606 0.3245  1 Ga 2.61
5 I 0.2192 0.4100 0.4100  1 Ga 2.53
6 I 0.6563 0.0394 0.6755  1 Ga 2.61
7 I 0.6563 0.6755 0.0394  1 Ga 2.61
8 I 0.2606 0.7287 0.7287  1 Ga 2.62
9 Ga 0.5958 0.7495 0.7495  4 I 2.53-2.62
10 Ga 0.4042 0.2505 0.2505  4 I 2.53-2.62
11 Cs 0.0000 0.0000 0.0000  6 I 4.04-4.13

Entry 5:
The following is a PBE-GGA calculation of Cs5GaI5 after structural relaxation, from Alexandria.

Values from the calculation:
E_form (uncorrected) = -1.139 eV/atom
total DFT energy (no corrections) = -2.51 eV per atom
D(E_F) = 3.43 states/eV/cell
M_tot = 0.84 Bohr magnetons per cell
symmetry = No. 12

Lattice parameters (Å, degrees): 7.7065 9.4029 10.7846 107.22 90.00 114.19
With the nearest neighbours (Å) after each atom.
Element x y z (fractional)
1 I 0.1508 0.3016 0.8487  1 Ga 3.48, 4 Cs 3.81-3.86
2 I 0.8422 0.6845 0.6867  1 Ga 3.58, 4 Cs 3.86-3.90
3 I 0.5000 0.0000 0.0000  4 Cs 3.77-3.79, 2 Ga 3.85
4 I 0.1578 0.3155 0.3133  1 Ga 3.58, 4 Cs 3.86-3.90
5 I 0.8492 0.6984 0.1513  1 Ga 3.48, 4 Cs 3.81-3.86
6 Cs 0.3377 0.6755 0.1670  5 I 3.77-3.90
7 Cs 0.3255 0.6510 0.6761  5 I 3.79-4.04
8 Cs 0.6745 0.3490 0.3239  5 I 3.79-4.04
9 Cs 0.6623 0.3245 0.8330  5 I 3.77-3.90
10 Cs 0.0000 0.0000 0.5000  4 I 3.81-3.86
11 Ga 0.0000 0.0000 0.0000  6 I 3.48-3.85

Entry 6:
The following is a PBE-GGA calculation of CsGaI2 after structural relaxation, from Alexandria.

Values from the calculation:
E_form (uncorrected) = -0.911 eV/atom
total DFT energy (no corrections) = -2.66 eV per atom
D(E_F) = 0.00 states/eV/cell
M_tot = 0.00 Bohr magnetons per cell
symmetry = No. 166

Lattice parameters (Å, degrees): 5.0931 5.0931 8.9526 73.47 73.47 60.00
With the nearest neighbours (Å) after each atom.
Element x y z (fractional)
1 Cs 0.0000 0.0000 0.0000  6 I 3.84
2 Ga 0.5000 0.5000 0.5000  6 I 3.42
3 I 0.2357 0.2357 0.2928  3 Ga 3.42
4 I 0.7643 0.7643 0.7072  3 Ga 3.42

Entry 7:
The following is a PBE-GGA calculation of Cs2GaI4 after structural relaxation, from Alexandria.

Values from the calculation:
E_form (uncorrected) = -1.050 eV/atom
total DFT energy (no corrections) = -2.61 eV per atom
D(E_F) = 2.26 states/eV/cell
M_tot = 0.00 Bohr magnetons per cell
symmetry = No. 139

Lattice parameters (Å, degrees): 5.8496 5.8496 10.6368 74.04 74.04 90.00
With the nearest neighbours (Å) after each atom.
Element x y z (fractional)
1 I 0.8429 0.8429 0.3141  1 Ga 3.08
2 I 0.5000 0.0000 0.0000  2 Ga 2.92
3 I 0.1571 0.1571 0.6859  1 Ga 3.08
4 I 0.0000 0.5000 0.0000  2 Ga 2.92
5 Ga 0.0000 0.0000 0.0000  6 I 2.92-3.08
6 Cs 0.3570 0.3570 0.2861  9 I 3.92-4.15
7 Cs 0.6430 0.6430 0.7140  9 I 3.92-4.15

Entry 8:
The following is a PBE-GGA calculation of CsGa2I3 after structural relaxation, from Alexandria.

Values from the calculation:
E_form (uncorrected) = -0.709 eV/atom
total DFT energy (no corrections) = -2.63 eV per atom
D(E_F) = 0.00 states/eV/cell
M_tot = 0.00 Bohr magnetons per cell
symmetry = No. 15

Lattice parameters (Å, degrees): 7.5264 8.7524 9.8430 106.51 90.00 115.47
With the nearest neighbours (Å) after each atom.
Element x y z (fractional)
1 Cs 0.9889 0.0000 0.2500  6 I 3.76-3.84
2 Cs 0.0111 0.0000 0.7500  6 I 3.76-3.84
3 I 0.2476 0.3853 0.1026  3 Ga 3.15-3.33
4 I 0.1377 0.3853 0.6026  3 Ga 3.15-3.33
5 I 0.8623 0.6147 0.3974  3 Ga 3.15-3.33
6 I 0.5103 0.0000 0.7500  4 Ga 3.44-3.49, 2 Cs 3.76-3.77
7 I 0.7524 0.6147 0.8974  3 Ga 3.15-3.33
8 I 0.4897 0.0000 0.2500  4 Ga 3.44-3.49, 2 Cs 3.76-3.77
9 Ga 0.6936 0.3235 0.5771  5 I 3.15-3.49
10 Ga 0.3064 0.6765 0.4229  5 I 3.15-3.49
11 Ga 0.3701 0.6765 0.9229  5 I 3.15-3.49
12 Ga 0.6299 0.3235 0.0771  5 I 3.15-3.49

Entry 9:
The following is a PBE-GGA calculation of Cs2Ga2I7 after structural relaxation, from Alexandria.

Values from the calculation:
E_form (uncorrected) = -0.831 eV/atom
total DFT energy (no corrections) = -2.52 eV per atom
D(E_F) = 4.99 states/eV/cell
M_tot = 0.00 Bohr magnetons per cell
symmetry = No. 12

Lattice parameters (Å, degrees): 7.3423 9.6578 9.6578 102.82 97.64 97.64
With the nearest neighbours (Å) after each atom.
Element x y z (fractional)
1 I 0.7349 0.8876 0.5968  1 Ga 2.66
2 I 0.2255 0.6309 0.6309  1 Ga 2.64
3 I 0.2651 0.4032 0.1124  1 Ga 2.66
4 I 0.5000 0.0000 0.0000  2 Ga 2.79
5 I 0.2651 0.1124 0.4032  1 Ga 2.66
6 I 0.7349 0.5968 0.8876  1 Ga 2.66
7 I 0.7745 0.3691 0.3691  1 Ga 2.64
8 Cs 0.0000 0.7210 0.2790  6 I 3.86-4.00
9 Cs 0.0000 0.2790 0.7210  6 I 3.86-4.00
10 Ga 0.4498 0.2233 0.2233  4 I 2.64-2.79
11 Ga 0.5502 0.7767 0.7767  4 I 2.64-2.79

Entry 10:
The following is a PBE-GGA calculation of CsGaI2 after structural relaxation, from Alexandria.

Values from the calculation:
E_form (uncorrected) = -0.901 eV/atom
total DFT energy (no corrections) = -2.65 eV per atom
D(E_F) = 0.00 states/eV/cell
M_tot = 0.00 Bohr magnetons per cell
symmetry = No. 160

Lattice parameters (Å, degrees): 5.0264 5.0264 9.1166 74.00 74.00 60.00
With the nearest neighbours (Å) after each atom.
Element x y z (fractional)
1 I 0.2642 0.2642 0.2075  3 Ga 3.42
2 I 0.0690 0.0690 0.7930  3 Ga 3.40
3 Ga 0.6674 0.6674 0.9978  6 I 3.40-3.42
4 Cs 0.4994 0.4994 0.5017  6 I 3.84-3.86

Entry 11:
The following is a PBE-GGA calculation of Cs3GaI4 after structural relaxation, from Alexandria.

Values from the calculation:
E_form (uncorrected) = -1.220 eV/atom
total DFT energy (no corrections) = -2.69 eV per atom
D(E_F) = 0.00 states/eV/cell
M_tot = 0.00 Bohr magnetons per cell
symmetry = No. 13

Lattice parameters (Å, degrees): 9.2076 9.3484 10.9176 90.00 90.00 109.70
With the nearest neighbours (Å) after each atom.
Element x y z (fractional)
1 Ga 0.2500 0.0000 0.0929  4 I 3.22-3.55
2 Ga 0.7500 0.0000 0.9071  4 I 3.22-3.55
3 I 0.9965 0.2504 0.6316  5 Cs 3.76-3.94, 1 Ga 4.01
4 I 0.5035 0.7496 0.6316  5 Cs 3.76-3.94, 1 Ga 4.01
5 I 0.4965 0.2504 0.3684  5 Cs 3.76-3.94, 1 Ga 4.01
6 I 0.5068 0.7899 0.1008  2 Ga 3.22-3.55
7 I 0.4932 0.2101 0.8992  2 Ga 3.22-3.55
8 I 0.0068 0.7899 0.8992  2 Ga 3.22-3.55
9 I 0.0035 0.7496 0.3684  5 Cs 3.76-3.94, 1 Ga 4.01
10 I 0.9932 0.2101 0.1008  2 Ga 3.22-3.55
11 Cs 0.7500 0.5000 0.1246  6 I 3.78-4.06
12 Cs 0.2500 0.5000 0.8754  6 I 3.78-4.06
13 Cs 0.2500 0.0000 0.6222  6 I 3.82-3.88
14 Cs 0.7500 0.0000 0.3778  6 I 3.82-3.88
15 Cs 0.2500 0.5000 0.3680  6 I 3.76-4.14
16 Cs 0.7500 0.5000 0.6320  6 I 3.76-4.14

Entry 12:
The following is a PBE-GGA calculation of CsGaI2 after structural relaxation, from Alexandria.

Values from the calculation:
E_form (uncorrected) = -0.933 eV/atom
total DFT energy (no corrections) = -2.68 eV per atom
D(E_F) = 0.00 states/eV/cell
M_tot = 0.00 Bohr magnetons per cell
symmetry = No. 62

Lattice parameters (Å, degrees): 4.7606 10.0304 15.5234 90.00 90.00 90.00
With the nearest neighbours (Å) after each atom.
Element x y z (fractional)
1 I 0.7500 0.5461 0.2004  1 Ga 2.84
2 I 0.2500 0.2208 0.0573  2 Ga 3.19
3 I 0.7500 0.0461 0.2996  1 Ga 2.84
4 I 0.2500 0.9539 0.7004  1 Ga 2.84
5 I 0.2500 0.4539 0.7996  1 Ga 2.84
6 I 0.7500 0.7792 0.9427  2 Ga 3.19
7 I 0.2500 0.7208 0.4427  2 Ga 3.19
8 I 0.7500 0.2792 0.5573  2 Ga 3.19
9 Ga 0.2500 0.5703 0.9667  1 I 2.84, 2 Ga 2.95
10 Ga 0.7500 0.9297 0.4667  1 I 2.84, 2 Ga 2.95
11 Ga 0.7500 0.4297 0.0333  1 I 2.84, 2 Ga 2.95
12 Ga 0.2500 0.0703 0.5333  1 I 2.84, 2 Ga 2.95
13 Cs 0.2500 0.3481 0.3483  7 I 3.86-4.08, 1 Ga 4.00
14 Cs 0.2500 0.8481 0.1517  7 I 3.86-4.08, 1 Ga 4.00
15 Cs 0.7500 0.1519 0.8483  7 I 3.86-4.08, 1 Ga 4.00
16 Cs 0.7500 0.6519 0.6517  7 I 3.86-4.08, 1 Ga 4.00